A plane-wave DFT calculation with PBE was carried out for an optimized crystal structure of Ce2Sm3TmTe6.

Results
- E_form (uncorrected) (meV/atom) = -1348
- Fermi-level density of states (states/eV per atom) = 1.476
- E (eV per cell) = -65.52

POSCAR file:
```
Ce2Sm3TmTe6
1.0
9.682 -2.201 0.000
9.682 2.201 0.000
-2.121 0.000 8.689
Ce Sm Tm Te
2 3 1 6
Direct
0.168 0.168 0.337
0.832 0.832 0.663
0.170 0.170 0.835
0.500 0.500 0.500
0.830 0.830 0.165
0.500 0.500 0.000
0.002 0.002 0.760
0.335 0.335 0.414
0.338 0.338 0.920
0.662 0.662 0.080
0.665 0.665 0.586
0.998 0.998 0.240
```

***

A plane-wave DFT calculation with PBE was carried out for an optimized crystal structure of Ce3Sm4TmTe8.

Results
- E_form (uncorrected) (meV/atom) = -1354
- Fermi-level density of states (states/eV per atom) = 1.621
- E (eV per cell) = -87.95

POSCAR file:
```
Ce3Sm4TmTe8
1.0
4.438 2.562 7.275
-4.438 2.562 7.275
0.000 -5.125 7.275
Ce Sm Tm Te
3 4 1 8
Direct
0.000 0.500 0.500
0.500 0.000 0.500
0.500 0.500 0.000
0.000 0.000 0.500
0.000 0.500 0.000
0.500 0.000 0.000
0.500 0.500 0.500
0.000 0.000 0.000
0.243 0.754 0.754
0.246 0.246 0.757
0.246 0.757 0.246
0.249 0.249 0.249
0.751 0.751 0.751
0.754 0.243 0.754
0.754 0.754 0.243
0.757 0.246 0.246
```